CaTl2FeF6 | GGA+U | optimized geometry

Computed properties:
Electronic total energy ... -4.99 eV/atom

Structure (POSCAR):
```
CaTl2FeF6
1.0
-2.3200 2.3527 5.2762
4.0488 -3.3941 3.2938
5.7165 6.4630 -0.3663
Ca Tl Fe F
2 4 2 12
direct
0.5000 0.0000 0.5000
0.0000 0.5000 0.0000
0.0001 0.0001 0.2500
0.5002 0.4997 0.7500
0.9999 0.9999 0.7500
0.4998 0.5003 0.2500
0.5000 0.0000 0.0000
0.0000 0.5000 0.5000
0.2576 0.7558 0.0009
0.7576 0.7442 0.5009
0.7424 0.2442 0.9991
0.2424 0.2558 0.4991
0.2442 0.7424 0.4989
0.7442 0.7576 0.9989
0.7558 0.2576 0.5011
0.2558 0.2424 0.0011
0.9981 0.5002 0.2626
0.4982 0.9998 0.7627
0.0019 0.4998 0.7374
0.5018 0.0002 0.2373
```